1.
{"formula": "KPr2Np3N8", "functional": "PBE", "state": "optimized geometry", "space_group": "R3m (160)", "lattice_angstrom": [[3.4839, 2.0114, 5.8708], [-3.4839, 2.0114, 5.8708], [0.0000, -4.0228, 5.8708]], "species": ["K", "Pr", "Pr", "Np", "Np", "Np", "N", "N", "N", "N", "N", "N", "N", "N"], "fractional_positions": [[0.0000, 0.0000, 0.0000], [0.2386, 0.2386, 0.2386], [0.6253, 0.6253, 0.6253], [0.1202, 0.6261, 0.6261], [0.6261, 0.1202, 0.6261], [0.6261, 0.6261, 0.1202], [0.3775, 0.3775, 0.8173], [0.3775, 0.8173, 0.3775], [0.3949, 0.3949, 0.3949], [0.4569, 0.8666, 0.8666], [0.8173, 0.3775, 0.3775], [0.8469, 0.8469, 0.8469], [0.8666, 0.4569, 0.8666], [0.8666, 0.8666, 0.4569]]}

=====

2.
{"formula": "K2PuNpN4", "functional": "PBE", "state": "optimized geometry", "space_group": "P2/m (10)", "lattice_angstrom": [[6.0904, 0.0000, 0.0000], [0.0000, 3.5180, 0.0000], [-2.0529, 0.0000, 6.3657]], "species": ["K", "K", "Pu", "Np", "N", "N", "N", "N"], "fractional_positions": [[0.0000, 0.0000, 0.0000], [0.5000, 0.5000, 0.0000], [0.0000, 0.5000, 0.5000], [0.5000, 0.0000, 0.5000], [0.2307, 0.0000, 0.6560], [0.2914, 0.5000, 0.3402], [0.7086, 0.5000, 0.6598], [0.7693, 0.0000, 0.3440]]}

=====

3.
{"formula": "K2NpReN4", "functional": "PBE", "state": "optimized geometry", "space_group": "Pmn2_1 (31)", "lattice_angstrom": [[7.1727, 0.0000, 0.0000], [0.0000, 7.3971, 0.0000], [0.0000, 0.0000, 6.0774]], "species": ["K", "K", "K", "K", "Np", "Np", "Re", "Re", "N", "N", "N", "N", "N", "N", "N", "N"], "fractional_positions": [[0.2504, 0.1605, 0.0000], [0.2496, 0.8395, 0.5000], [0.7496, 0.1605, 0.0000], [0.7504, 0.8395, 0.5000], [0.0000, 0.3583, 0.4834], [0.5000, 0.6417, 0.9834], [0.0000, 0.6498, 0.9750], [0.5000, 0.3502, 0.4750], [0.0000, 0.4354, 0.1312], [0.0000, 0.6054, 0.6786], [0.2179, 0.7780, 0.0335], [0.2821, 0.2220, 0.5335], [0.5000, 0.3946, 0.1786], [0.5000, 0.5646, 0.6312], [0.7179, 0.2220, 0.5335], [0.7821, 0.7780, 0.0335]]}

=====

| no. | formation energy without anion corrections (kJ/mol of atoms) |
| --- | --- |
| 1 | -95.3 |
| 2 | -76.0 |
| 3 | -37.5 |